The following is a DFT calculation (PBE) of a geometry-optimized RbGa3P6O20 structure.

```
RbGa3P6O20
1.0
5.078 -6.655 0.000
5.078 6.655 0.000
0.000 0.000 12.226
Rb Ga P O
2 6 12 40
Cartesian
0.275 0.000 0.000
9.881 0.000 6.113
5.078 3.916 3.057
5.078 3.213 9.170
3.693 0.000 6.113
6.463 0.000 0.000
5.078 -3.213 3.057
5.078 -3.916 9.170
2.732 1.840 2.243
2.643 0.841 8.841
4.537 2.708 0.158
2.643 -0.841 3.385
5.620 2.708 5.955
2.732 -1.840 9.983
7.425 1.840 3.870
4.537 -2.708 12.068
7.514 0.841 9.498
5.620 -2.708 6.271
7.514 -0.841 2.728
7.425 -1.840 8.356
3.841 4.678 8.541
1.313 1.307 9.385
3.069 2.178 0.707
3.634 2.577 3.186
4.282 3.176 10.973
4.939 3.861 1.073
5.218 3.861 5.040
1.313 -1.307 2.841
3.762 1.833 8.680
2.453 0.084 7.491
2.453 -0.084 4.735
6.315 4.678 9.798
3.119 0.276 2.292
3.119 -0.276 9.934
5.874 3.176 7.366
4.713 1.481 5.813
5.443 1.481 0.300
6.522 2.577 2.927
3.069 -2.178 11.519
6.394 1.833 9.659
3.762 -1.833 3.546
7.087 2.178 5.406
3.634 -2.577 9.040
4.713 -1.481 6.413
5.443 -1.481 11.927
4.282 -3.176 1.253
7.038 0.276 3.821
7.038 -0.276 8.405
3.841 -4.678 3.685
7.704 0.084 10.848
7.704 -0.084 1.378
6.394 -1.833 2.567
8.843 1.307 8.954
4.939 -3.861 11.153
5.218 -3.861 7.186
5.874 -3.176 4.860
6.522 -2.577 9.299
7.087 -2.178 6.820
8.843 -1.307 3.272
6.315 -4.678 2.428
```

Values from the calculation:
As for the symmetry: No. 20. As for the total energy: -411.65 eV/cell.